[1]
Below is Zn2AgHg2 after structural relaxation, with properties calculated at the PBE level.

It has space group P4/mbm (No. 127), with a = 8.067 Å, b = 8.067 Å, c = 3.087 Å, α = 90.00°, β = 90.00° and γ = 90.00°. Symmetry generates all atoms from Zn at (0.117, 0.383, 0.000), Ag at (0.000, 0.000, 0.500) and Hg at (0.181, 0.681, 0.500).

The raw total energy comes out at -1.02 eV per atom. The formation energy comes out at 179 meV/atom. As for the offset from the most stable computed form: 62 meV/atom.

=====

[2]
Below is Zr2AlBr after structural relaxation, with properties calculated at the PBE level.

It has space group Fm-3m (No. 225), with a = 6.930 Å, b = 6.930 Å, c = 6.930 Å, α = 90.00°, β = 90.00° and γ = 90.00°. Symmetry generates all atoms from Zr at (0.250, 0.250, 0.250), Al at (0.000, 0.000, 0.000) and Br at (0.000, 0.000, 0.500).

The calculation puts the uncorrected formation energy at -63.5 meV/atom. The raw total energy comes out at -5.69 eV per atom. As for the offset from the most stable computed form: 300 meV/atom.

=====

[3]
Below is Na2LiTlF6 after structural relaxation, with properties calculated at the PBE level.

It has space group P2_1/c (No. 14), with a = 5.591 Å, b = 5.760 Å, c = 9.781 Å, α = 90.00°, β = 122.22° and γ = 90.00°. Symmetry generates all atoms from Na at (0.213, 0.060, 0.241), Li at (0.000, 0.000, 0.500), Tl at (0.500, 0.000, 0.000), F at (0.124, 0.209, 0.937), F at (0.219, 0.696, 0.927) and F at (0.381, 0.059, 0.749).

The calculation puts the uncorrected formation energy at -2435.8 meV/atom. The raw total energy comes out at -4.25 eV per atom. As for the offset from the most stable computed form: 0 meV/atom.